A relaxed Mg3CrN4 crystal, computed with GGA-PBE.

Lattice parameters (Å, degrees): 6.6052 5.7239 5.2101 90.00 90.00 90.00
Positions (direct):
Mg  0.0000  0.1527  0.0000
Mg  0.2474  0.3282  0.4984
Mg  0.2526  0.6718  0.9984
Mg  0.5000  0.8473  0.5000
Mg  0.7474  0.6718  0.9984
Mg  0.7526  0.3282  0.4984
Cr  0.0000  0.8260  0.4899
Cr  0.5000  0.1740  0.9899
N  0.0000  0.1183  0.5934
N  0.0000  0.8219  0.1574
N  0.2221  0.6817  0.5949
N  0.2779  0.3183  0.0949
N  0.5000  0.1781  0.6574
N  0.5000  0.8817  0.0934
N  0.7221  0.3183  0.0949
N  0.7779  0.6817  0.5949

Results
Electronic total energy (eV/atom): -6.701
Calculated volume (Å³ per cell): 197.0
Fermi-level density of states (states/eV/atom): 0.00